# Li2MgRh

Li2MgRh at its PBEsol-relaxed geometry (SCAN, Alexandria via LeMat-Bulk).

Cell and atoms, written as CIF:
```
data_Li2MgRh
_chemical_formula_sum 'Li2 Mg1 Rh1'
_symmetry_space_group_name_H-M 'P 4/m m m'
_symmetry_Int_Tables_number 123
_symmetry_space_group_name_Hall '-P 4 2'
_cell_length_a 3.744
_cell_length_b 3.744
_cell_length_c 4.211
_cell_angle_alpha 90.00
_cell_angle_beta 90.00
_cell_angle_gamma 90.00
loop_
_atom_site_label
_atom_site_type_symbol
_atom_site_fract_x
_atom_site_fract_y
_atom_site_fract_z
_atom_site_occupancy
Li1 Li 0.000 0.500 0.000 1
Mg1 Mg 0.000 0.000 0.500 1
Rh1 Rh 0.500 0.500 0.500 1
```

Computed properties:
ΔE_f	-0.211	eV per atom